## TmLuHf (PBE-GGA)

Data for an optimized crystal structure of TmLuHf.

The structure in POSCAR format:
```
TmLuHf
1.0
3.342 0.000 0.000
-1.671 2.895 0.000
0.000 0.000 8.293
Tm Lu Hf
1 1 1
direct
0.000 0.000 0.000 Tm
0.333 0.667 0.631 Lu
0.667 0.333 0.316 Hf
```

* polymorph energy (0 for the lowest one): 9 meV/atom
* V: 26.7 Å³ per atom
* total moment: 0.00 μB per formula unit
* energy of formation from the pure elements: 0.104 eV per atom
* density of states at the Fermi level: 1.26 states/eV per atom